1.
{
  "formula": "HfPaCoO6",
  "functional": "PBE+U",
  "state": "relaxed",
  "total_energy_ev_per_atom": -8.567,
  "magnetic_moment_mub_per_cell": 4.6,
  "lattice": [[5.609, 0.000, 0.000], [-2.804, 4.857, 0.000], [0.000, 0.000, 8.651]],
  "species": ["Hf", "Hf", "Pa", "Pa", "Co", "Co", "O", "O", "O", "O", "O", "O", "O", "O", "O", "O", "O", "O"],
  "fractional_positions": [[0.333, 0.667, 0.250], [0.667, 0.333, 0.750], [0.333, 0.667, 0.750], [0.667, 0.333, 0.250], [0.000, 0.000, 0.000], [0.000, 0.000, 0.500], [0.013, 0.342, 0.129], [0.013, 0.670, 0.371], [0.330, 0.342, 0.371], [0.330, 0.987, 0.129], [0.342, 0.013, 0.629], [0.342, 0.330, 0.871], [0.658, 0.670, 0.129], [0.658, 0.987, 0.371], [0.670, 0.013, 0.871], [0.670, 0.658, 0.629], [0.987, 0.330, 0.629], [0.987, 0.658, 0.871]]
}

---

2.
{
  "formula": "PmHfCo2O6",
  "functional": "PBE+U",
  "state": "relaxed",
  "total_energy_ev_per_atom": -7.776,
  "magnetic_moment_mub_per_cell": 2.9,
  "lattice": [[2.661, 1.536, 4.738], [-2.661, 1.536, 4.738], [0.000, -3.072, 4.738]],
  "species": ["Pm", "Hf", "Co", "Co", "O", "O", "O", "O", "O", "O"],
  "fractional_positions": [[0.000, 0.000, 0.000], [0.520, 0.520, 0.520], [0.217, 0.217, 0.217], [0.733, 0.733, 0.733], [0.116, 0.443, 0.843], [0.374, 0.945, 0.549], [0.443, 0.843, 0.116], [0.549, 0.374, 0.945], [0.843, 0.116, 0.443], [0.945, 0.549, 0.374]]
}

---

3.
{
  "formula": "Pm2HfCoO6",
  "functional": "PBE+U",
  "state": "relaxed",
  "total_energy_ev_per_atom": -8.424,
  "magnetic_moment_mub_per_cell": 6.0,
  "lattice": [[5.544, 0.000, 0.000], [0.000, 5.815, 0.000], [-5.402, 0.000, 8.041]],
  "species": ["Pm", "Pm", "Pm", "Pm", "Hf", "Hf", "Co", "Co", "O", "O", "O", "O", "O", "O", "O", "O", "O", "O", "O", "O"],
  "fractional_positions": [[0.227, 0.062, 0.247], [0.227, 0.438, 0.747], [0.773, 0.562, 0.253], [0.773, 0.938, 0.753], [0.500, 0.000, 0.000], [0.500, 0.500, 0.500], [0.000, 0.000, 0.500], [0.000, 0.500, 0.000], [0.142, 0.195, 0.943], [0.142, 0.305, 0.443], [0.243, 0.705, 0.936], [0.243, 0.795, 0.436], [0.371, 0.046, 0.754], [0.371, 0.454, 0.254], [0.629, 0.546, 0.746], [0.629, 0.954, 0.246], [0.757, 0.205, 0.564], [0.757, 0.295, 0.064], [0.858, 0.695, 0.557], [0.858, 0.805, 0.057]]
}

---

4.
{
  "formula": "HfCoRhO6",
  "functional": "PBE+U",
  "state": "relaxed",
  "total_energy_ev_per_atom": -7.345,
  "magnetic_moment_mub_per_cell": 3.2,
  "lattice": [[4.635, 0.000, 0.000], [0.000, 4.635, 0.000], [0.000, 0.000, 9.132]],
  "species": ["Hf", "Hf", "Co", "Co", "Rh", "Rh", "O", "O", "O", "O", "O", "O", "O", "O", "O", "O", "O", "O"],
  "fractional_positions": [[0.000, 0.000, 0.000], [0.500, 0.500, 0.500], [0.000, 0.000, 0.334], [0.500, 0.500, 0.834], [0.000, 0.000, 0.672], [0.500, 0.500, 0.172], [0.184, 0.184, 0.498], [0.198, 0.198, 0.176], [0.211, 0.211, 0.836], [0.289, 0.711, 0.336], [0.302, 0.698, 0.676], [0.316, 0.684, 0.998], [0.684, 0.316, 0.998], [0.698, 0.302, 0.676], [0.711, 0.289, 0.336], [0.789, 0.789, 0.836], [0.802, 0.802, 0.176], [0.816, 0.816, 0.498]]
}

---

5.
{
  "formula": "HfCo2SbO6",
  "functional": "PBE+U",
  "state": "relaxed",
  "total_energy_ev_per_atom": -7.098,
  "magnetic_moment_mub_per_cell": 3.0,
  "lattice": [[2.659, 1.535, 4.731], [-2.659, 1.535, 4.731], [0.000, -3.070, 4.731]],
  "species": ["Hf", "Co", "Co", "Sb", "O", "O", "O", "O", "O", "O"],
  "fractional_positions": [[0.000, 0.000, 0.000], [0.211, 0.211, 0.211], [0.695, 0.695, 0.695], [0.488, 0.488, 0.488], [0.035, 0.423, 0.841], [0.319, 0.907, 0.598], [0.423, 0.841, 0.035], [0.598, 0.319, 0.907], [0.841, 0.035, 0.423], [0.907, 0.598, 0.319]]
}

---

6.
{
  "formula": "HfCo2SnO6",
  "functional": "PBE+U",
  "state": "relaxed",
  "total_energy_ev_per_atom": -7.333,
  "magnetic_moment_mub_per_cell": 6.0,
  "lattice": [[2.657, 1.534, 4.776], [-2.657, 1.534, 4.776], [0.000, -3.068, 4.776]],
  "species": ["Hf", "Co", "Co", "Sn", "O", "O", "O", "O", "O", "O"],
  "fractional_positions": [[0.000, 0.000, 0.000], [0.288, 0.288, 0.288], [0.789, 0.789, 0.789], [0.498, 0.498, 0.498], [0.102, 0.710, 0.388], [0.207, 0.603, 0.888], [0.388, 0.102, 0.710], [0.603, 0.888, 0.207], [0.710, 0.388, 0.102], [0.888, 0.207, 0.603]]
}

---

7.
{
  "formula": "HfCoSnO2",
  "functional": "PBE+U",
  "state": "relaxed",
  "total_energy_ev_per_atom": -5.541,
  "magnetic_moment_mub_per_cell": 1.2,
  "lattice": [[4.021, 0.000, 0.000], [0.000, 4.021, 0.000], [0.000, 0.000, 6.166]],
  "species": ["Hf", "Co", "Sn", "O", "O"],
  "fractional_positions": [[0.000, 0.000, 0.000], [0.500, 0.500, 0.000], [0.000, 0.000, 0.500], [0.000, 0.500, 0.500], [0.500, 0.000, 0.500]]
}

---

8.
{
  "formula": "Sr2HfCoO6",
  "functional": "PBE+U",
  "state": "relaxed",
  "total_energy_ev_per_atom": -7.289,
  "magnetic_moment_mub_per_cell": 3.0,
  "relative_energy_mev_per_atom": 0.0,
  "lattice": [[4.082, 0.000, 0.000], [0.000, 4.082, 0.000], [0.000, 0.000, 7.794]],
  "species": ["Sr", "Sr", "Hf", "Co", "O", "O", "O", "O", "O", "O"],
  "fractional_positions": [[0.000, 0.000, 0.226], [0.000, 0.000, 0.774], [0.500, 0.500, 0.500], [0.500, 0.500, 0.000], [0.000, 0.500, 0.000], [0.000, 0.500, 0.500], [0.500, 0.000, 0.000], [0.500, 0.000, 0.500], [0.500, 0.500, 0.233], [0.500, 0.500, 0.767]]
}